Entry 1:
TiIn3O | GGA-PBE | relaxed

Geometry as POSCAR:
```
TiIn3O
1.0
4.649 0.000 0.000
0.000 4.649 0.000
0.000 0.000 4.649
Ti In O
1 3 1
direct
0.000 0.000 0.000
0.000 0.500 0.500
0.500 0.000 0.500
0.500 0.500 0.000
0.500 0.500 0.500
```

Computed properties:
VASP energy in eV/atom: -4.279
Spin magnetization in μB per atom: 0.00
ΔE_f (raw) in meV/atom: -65.7

Entry 2:
TcNiCl2 | GGA-PBE | relaxed

Geometry as POSCAR:
```
TcNiCl2
1.0
7.228 0.000 0.000
0.000 3.115 0.000
-1.742 0.000 7.621
Tc Ni Cl
2 2 4
direct
0.000 0.000 0.000
0.500 0.500 0.000
0.252 0.500 0.148
0.752 0.000 0.148
0.070 0.000 0.320
0.434 0.000 0.771
0.570 0.500 0.320
0.934 0.500 0.771
```

Computed properties:
VASP energy in eV/atom: -4.938
Spin magnetization in μB per atom: 0.24
ΔE_f (raw) in meV/atom: 21.9

Entry 3:
NbAgPb2Se | GGA-PBE | relaxed

Geometry as POSCAR:
```
NbAgPb2Se
1.0
5.413 0.000 0.000
0.000 5.413 0.000
0.000 0.000 4.942
Nb Ag Pb Se
1 1 2 1
direct
0.000 0.000 0.000
0.500 0.500 0.500
0.000 0.500 0.500
0.500 0.000 0.500
0.500 0.500 0.000
```

Computed properties:
VASP energy in eV/atom: -3.655
Spin magnetization in μB per atom: 0.02
ΔE_f (raw) in meV/atom: 1109.6

Entry 4:
LaCuCl3 | GGA-PBE | relaxed

Geometry as POSCAR:
```
LaCuCl3
1.0
5.575 0.000 0.000
0.000 5.575 0.000
0.000 0.000 5.575
La Cu Cl
1 1 3
direct
0.000 0.000 0.000
0.500 0.500 0.500
0.000 0.000 0.500
0.000 0.500 0.000
0.500 0.000 0.000
```

Computed properties:
VASP energy in eV/atom: -4.104
Spin magnetization in μB per atom: 0.20
ΔE_f (raw) in meV/atom: -1191.0

Entry 5:
Pm2AgPd | GGA-PBE | relaxed

Geometry as POSCAR:
```
Pm2AgPd
1.0
5.845 0.000 0.000
0.000 4.794 0.000
-2.622 0.000 7.269
Pm Ag Pd
4 2 2
direct
0.213 0.250 0.432
0.232 0.250 0.928
0.768 0.750 0.072
0.787 0.750 0.568
0.331 0.750 0.212
0.669 0.250 0.788
0.342 0.750 0.708
0.658 0.250 0.292
```

Computed properties:
VASP energy in eV/atom: -4.927
Spin magnetization in μB per atom: 0.00
ΔE_f in eV per atom: -0.541

Entry 6:
BaYMn2In | GGA-PBE | relaxed

Geometry as POSCAR:
```
BaYMn2In
1.0
4.836 0.000 0.000
0.000 4.836 0.000
0.000 0.000 5.607
Ba Y Mn In
1 1 2 1
direct
0.000 0.000 0.000
0.000 0.000 0.500
0.000 0.500 0.000
0.500 0.000 0.000
0.500 0.500 0.500
```

Computed properties:
VASP energy in eV/atom: -3.925
Spin magnetization in μB per atom: 0.19
ΔE_f in eV per atom: 1.968

Entry 7:
YBiHAu2 | GGA-PBE | relaxed

Geometry as POSCAR:
```
YBiHAu2
1.0
4.596 0.000 0.000
0.000 4.596 0.000
0.000 0.000 4.491
Y Bi H Au
1 1 1 2
direct
0.000 0.000 0.000
0.500 0.500 0.000
0.000 0.000 0.500
0.000 0.500 0.500
0.500 0.000 0.500
```

Computed properties:
VASP energy in eV/atom: -4.371
Spin magnetization in μB per atom: 0.00

Entry 8:
Rb3Ce3MgS8 | GGA-PBE | relaxed

Geometry as POSCAR:
```
Rb3Ce3MgS8
1.0
4.088 2.360 7.755
-4.088 2.360 7.755
0.000 -4.721 7.755
Rb Ce Mg S
3 3 1 8
direct
0.000 0.500 0.500
0.500 0.000 0.500
0.500 0.500 0.000
0.000 0.000 0.500
0.000 0.500 0.000
0.500 0.000 0.000
0.500 0.500 0.500
0.232 0.232 0.232
0.232 0.725 0.725
0.275 0.275 0.768
0.275 0.768 0.275
0.725 0.232 0.725
0.725 0.725 0.232
0.768 0.275 0.275
0.768 0.768 0.768
```

Computed properties:
VASP energy in eV/atom: -5.332
Spin magnetization in μB per atom: 0.07
ΔE_f (raw) in meV/atom: -1644.2